Computed, not measured: a geometry-optimized MnZn8Cu5 structure at the PBE level of DFT.

- Size of the total moment: 3.9 μB per formula unit
- Energy of formation: 0.00 eV/atom
- Space-group type: C2, No. 5

a b c (Å): 6.516 6.516 6.550
angles (deg): 120.37 89.84 119.64
Last column: magnetic moment on the atom in μB.
Sites, in units of the cell vectors:
Mn (0.241, 0.741, 0.500)  3.67
Zn (0.015, 0.730, 0.144)  -0.01
Zn (0.085, 0.311, 0.998)  0.00
Zn (0.762, 0.854, 0.480)  0.00
Zn (0.108, 0.478, 0.716)  -0.01
Zn (0.762, 0.392, 0.284)  -0.01
Zn (0.314, 0.088, 0.002)  0.00
Zn (0.586, 0.871, 0.856)  -0.01
Zn (0.373, 0.281, 0.520)  0.00
Cu (0.671, 0.224, 0.742)  0.03
Cu (0.861, 0.697, 0.752)  0.01
Cu (0.482, 0.929, 0.258)  0.03
Cu (0.545, 0.545, 0.000)  0.01
Cu (0.945, 0.109, 0.248)  0.01



Computed, not measured: a geometry-optimized MnZn5Cu6 structure at the PBE level of DFT.

- Size of the total moment: 4.0 μB per formula unit
- Energy of formation: -0.04 eV/atom
- Space-group type: Immm, No. 71

a b c (Å): 3.845 7.029 7.056
angles (deg): 119.87 105.81 90.00
Last column: magnetic moment on the atom in μB.
Sites, in units of the cell vectors:
Zn (0.336, 0.836, 0.673)  -0.01
Zn (0.670, 0.670, 0.340)  0.01
Zn (0.000, 0.500, 0.000)  0.00
Zn (0.330, 0.330, 0.660)  0.01
Zn (0.664, 0.164, 0.327)  -0.01
Mn (0.000, 0.000, 0.000)  3.60
Cu (0.166, 0.419, 0.332)  0.02
Cu (0.166, 0.913, 0.332)  0.02
Cu (0.500, 0.254, 0.000)  0.06
Cu (0.500, 0.746, 0.000)  0.06
Cu (0.834, 0.087, 0.668)  0.02
Cu (0.834, 0.581, 0.668)  0.02